No. 1
A plane-wave DFT calculation with PBE was carried out for a geometry-optimized CoBiS structure.

```
CoBiS
1.0
3.5318 0.0000 0.0000
-1.7659 3.0586 0.0000
0.0000 0.0000 5.5987
Co Bi S
1 1 1
Direct
0.0000 0.0000 0.0000
0.6667 0.3333 0.3339
0.3333 0.6667 0.8634
```

Properties
Space-group type = P3m1, No. 156
VASP energy = -5.20 eV/atom
ΔE_f (raw) = -0.158 eV/atom

=====

No. 2
A plane-wave DFT calculation with PBE was carried out for a geometry-optimized BeBiW3 structure.

```
BeBiW3
1.0
4.9948 0.0000 0.0000
0.0000 4.9948 0.0000
0.0000 0.0000 4.9948
Be Bi W
1 1 3
Direct
0.0000 0.0000 0.0000
0.5000 0.5000 0.5000
0.0000 0.5000 0.5000
0.5000 0.0000 0.5000
0.5000 0.5000 0.0000
```

Properties
Calculated formation energy = 3463 meV per atom
Space-group type = Pm-3m, No. 221
VASP energy = -5.83 eV/atom

=====

No. 3
A plane-wave DFT calculation with PBE was carried out for a geometry-optimized CaPrNdTl structure.

```
CaPrNdTl
1.0
0.0000 4.0037 4.0037
4.0037 0.0000 4.0037
4.0037 4.0037 0.0000
Ca Pr Nd Tl
1 1 1 1
Direct
0.0000 0.0000 0.0000
0.2500 0.2500 0.2500
0.7500 0.7500 0.7500
0.5000 0.5000 0.5000
```

Properties
Calculated formation energy = -123 meV per atom
Space-group type = F-43m, No. 216
VASP energy = -3.60 eV/atom